Below is an optimized crystal structure of SrGaCuPt3, with properties calculated at the PBE level.

abc: 5.7889 6.7918 6.9321
angles: 119.33 90.00 90.00
With the nearest neighbours (Å) after each atom.
Sites, in units of the cell vectors:
Pt 0.7500 0.8300 0.6599  1 Ga 2.41, 1 Cu 2.52
Ga 0.7500 0.6303 0.2606  5 Pt 2.41-2.56
Pt 0.0000 0.7060 0.0000  2 Cu 2.51, 2 Ga 2.56, 1 Pt 2.80
Sr 0.7500 0.2814 0.5628  1 Cu 2.93, 2 Ga 3.08, 2 Pt 3.19
Ga 0.2500 0.3697 0.7394  5 Pt 2.41-2.56
Pt 0.5000 0.2940 0.0000  2 Cu 2.51, 2 Ga 2.56, 1 Pt 2.80
Cu 0.7500 0.0388 0.0775  5 Pt 2.51-2.52
Pt 0.0000 0.2940 0.0000  2 Cu 2.51, 2 Ga 2.56, 1 Pt 2.80
Cu 0.2500 0.9612 0.9225  5 Pt 2.51-2.52
Pt 0.2500 0.1700 0.3401  1 Ga 2.41, 1 Cu 2.52
Sr 0.2500 0.7186 0.4372  1 Cu 2.93, 2 Ga 3.08, 2 Pt 3.19
Pt 0.5000 0.7060 0.0000  2 Cu 2.51, 2 Ga 2.56, 1 Pt 2.80

Properties
Its formation energy is -0.452 eV/atom. The value obtained for the magnetization is 0.00 μB/f.u.

Below is an optimized crystal structure of GdErIrPb, with properties calculated at the PBE level.

abc: 5.1386 5.1386 5.1386
angles: 60.00 60.00 60.00
With the nearest neighbours (Å) after each atom.
Sites, in units of the cell vectors:
Pb 0.7500 0.7500 0.7500  4 Gd 3.15, 4 Er 3.15
Er 0.5000 0.5000 0.5000  4 Pb 3.15, 4 Ir 3.15
Ir 0.2500 0.2500 0.2500  4 Gd 3.15, 4 Er 3.15
Gd 0.0000 0.0000 0.0000  4 Pb 3.15, 4 Ir 3.15

Properties
Its formation energy is -0.475 eV/atom. The value obtained for the magnetization is 7.09 μB/f.u.